The following is a DFT calculation (PBE) of an optimized crystal structure of TiSi3Ge.

Lattice parameters (Å, degrees): 4.6790 4.6790 4.6790 90.00 90.00 90.00
Fractional coordinates of all 5 atoms:
Ti  0.0000  0.0000  0.0000
Si  0.0000  0.5000  0.5000
Si  0.5000  0.0000  0.5000
Si  0.5000  0.5000  0.0000
Ge  0.5000  0.5000  0.5000

Summary:
Fermi-level density of states in states/eV per cell: 7.4
Uncorrected energy in eV/atom: -4.6268
Polymorph energy (0 for the lowest one) in meV/atom: 418
E_form (uncorrected) in eV/atom: 1.129

The following is a DFT calculation (PBE) of an optimized crystal structure of Li3TaV2S6.

Lattice parameters (Å, degrees): 5.8991 5.8991 6.5524 98.32 98.32 121.13
Fractional coordinates of all 12 atoms:
Li  0.0000  0.0000  0.0000
Li  0.3268  0.6732  0.0000
Li  0.6732  0.3268  0.0000
Ta  0.5000  0.5000  0.5000
V  0.1331  0.8669  0.5000
V  0.8669  0.1331  0.5000
S  0.0795  0.4265  0.2759
S  0.2505  0.2505  0.7541
S  0.4265  0.0795  0.2759
S  0.5735  0.9205  0.7241
S  0.7495  0.7495  0.2459
S  0.9205  0.5735  0.7241

Summary:
Fermi-level density of states in states/eV per cell: 2.8
Uncorrected energy in eV/atom: -6.1475
E_form (uncorrected) in eV/atom: -1.098

The following is a DFT calculation (PBE) of an optimized crystal structure of Sm2CdIn2.

Lattice parameters (Å, degrees): 6.2271 6.2271 11.0448 113.48 113.48 45.93
Fractional coordinates of all 10 atoms:
Sm  0.0228  0.0228  0.3355
Sm  0.1743  0.1743  0.0891
Sm  0.8257  0.8257  0.9109
Sm  0.9772  0.9772  0.6645
Cd  0.2761  0.2761  0.6627
Cd  0.7239  0.7239  0.3373
In  0.3608  0.3608  0.4255
In  0.4689  0.4689  0.1198
In  0.5311  0.5311  0.8802
In  0.6392  0.6392  0.5745

Summary:
Fermi-level density of states in states/eV per cell: 7.9
Uncorrected energy in eV/atom: -3.5922
Formation energy from the elements in eV per atom: -0.426

The following is a DFT calculation (PBE) of an optimized crystal structure of Hf2ZrGa2.

Lattice parameters (Å, degrees): 7.9527 7.9527 7.9527 152.50 152.50 39.28
Fractional coordinates of all 5 atoms:
Hf  0.1012  0.1012  0.0000
Hf  0.8988  0.8988  0.0000
Zr  0.5000  0.5000  0.0000
Ga  0.2500  0.7500  0.5000
Ga  0.7500  0.2500  0.5000

Summary:
Fermi-level density of states in states/eV per cell: 6.5
Uncorrected energy in eV/atom: -6.7400
Polymorph energy (0 for the lowest one) in meV/atom: 626
Formation energy from the elements in eV per atom: 0.162

The following is a DFT calculation (PBE) of an optimized crystal structure of Nd2Y8Sc3.

Lattice parameters (Å, degrees): 8.5744 8.5744 6.6165 96.79 96.79 61.21
Fractional coordinates of all 13 atoms:
Nd  0.2041  0.2041  0.2773
Nd  0.7959  0.7959  0.7227
Y  0.1898  0.1898  0.7865
Y  0.2075  0.5745  0.5772
Y  0.4119  0.4119  0.1132
Y  0.4255  0.7925  0.4228
Y  0.5745  0.2075  0.5772
Y  0.5881  0.5881  0.8868
Y  0.7925  0.4255  0.4228
Y  0.8102  0.8102  0.2135
Sc  0.0000  0.0000  0.5000
Sc  0.1632  0.8368  0.0000
Sc  0.8368  0.1632  0.0000

Summary:
Fermi-level density of states in states/eV per cell: 19.9
Uncorrected energy in eV/atom: -5.9209
Polymorph energy (0 for the lowest one) in meV/atom: 68
Formation energy from the elements in eV per atom: 0.252

The following is a DFT calculation (PBE) of an optimized crystal structure of K2MnBe.

Lattice parameters (Å, degrees): 4.3664 4.6965 6.0861 90.00 90.44 90.00
Fractional coordinates of all 4 atoms:
K  0.0014  0.0000  0.2559
K  0.9986  0.0000  0.7441
Mn  0.5000  0.5000  0.0000
Be  0.5000  0.5000  0.5000

Summary:
Fermi-level density of states in states/eV per cell: 4.4
Uncorrected energy in eV/atom: -2.6072
Formation energy from the elements in eV per atom: 1.165